(1)
This record from Alexandria via LeMat-Bulk describes an optimized crystal structure of KEr2C. The functional is PBE.

Cell lengths 10.683, 10.683, 10.683 Å; angles 19.33, 19.33, 19.33 degrees
Fractional positions:
K (0.000, 0.000, 0.000)
Er (0.125, 0.125, 0.125)
Er (0.875, 0.875, 0.875)
C (0.500, 0.500, 0.500)

## Properties
Energy of formation from the pure elements ... -0.04 eV per atom

***

(2)
This record from Alexandria via LeMat-Bulk describes an optimized crystal structure of AcLuZnRu. The functional is PBE.

Cell lengths 5.099, 5.099, 5.099 Å; angles 60.00, 60.00, 60.00 degrees
Fractional positions:
Ac (0.000, 0.000, 0.000)
Lu (0.500, 0.500, 0.500)
Zn (0.250, 0.250, 0.250)
Ru (0.750, 0.750, 0.750)

## Properties
Energy of formation from the pure elements ... -0.16 eV per atom

***

(3)
This record from Alexandria via LeMat-Bulk describes an optimized crystal structure of MnCo3Ir. The functional is PBE.

Cell lengths 4.097, 4.097, 4.097 Å; angles 90.00, 90.00, 90.00 degrees
Fractional positions:
Mn (0.000, 0.000, 0.000)
Co (0.000, 0.000, 0.500)
Co (0.000, 0.500, 0.000)
Co (0.500, 0.000, 0.000)
Ir (0.500, 0.500, 0.500)

## Properties
Energy of formation from the pure elements ... 1.30 eV per atom

***

(4)
This record from Alexandria via LeMat-Bulk describes an optimized crystal structure of Hf6NbAl5. The functional is PBE.

Cell lengths 4.269, 8.077, 6.966 Å; angles 90.00, 107.68, 90.00 degrees
Fractional positions:
Hf (0.000, 0.248, 0.000)
Hf (0.000, 0.752, 0.000)
Hf (0.333, 0.248, 0.665)
Hf (0.333, 0.752, 0.665)
Hf (0.667, 0.248, 0.335)
Hf (0.667, 0.752, 0.335)
Nb (0.500, 0.000, 0.000)
Al (0.163, 0.000, 0.326)
Al (0.169, 0.500, 0.338)
Al (0.500, 0.500, 0.000)
Al (0.831, 0.500, 0.662)
Al (0.837, 0.000, 0.674)

## Properties
Energy of formation from the pure elements ... -0.30 eV per atom

***

(5)
This record from Alexandria via LeMat-Bulk describes an optimized crystal structure of VBi2N. The functional is PBE.

Cell lengths 6.384, 6.384, 6.384 Å; angles 118.86, 118.86, 91.99 degrees
Fractional positions:
V (0.000, 0.000, 0.000)
V (0.750, 0.250, 0.500)
Bi (0.183, 0.625, 0.058)
Bi (0.375, 0.433, 0.558)
Bi (0.567, 0.125, 0.942)
Bi (0.875, 0.817, 0.442)
N (0.250, 0.750, 0.500)
N (0.500, 0.500, 0.000)

## Properties
Formation energy without anion corrections ... 940 meV per atom

***

(6)
This record from Alexandria via LeMat-Bulk describes an optimized crystal structure of TmCd4In. The functional is PBE.

Cell lengths 5.918, 5.918, 5.918 Å; angles 60.00, 60.00, 60.00 degrees
Fractional positions:
Tm (0.000, 0.000, 0.000)
Cd (0.375, 0.375, 0.375)
Cd (0.375, 0.375, 0.876)
Cd (0.375, 0.876, 0.375)
Cd (0.876, 0.375, 0.375)
In (0.750, 0.750, 0.750)

## Properties
Energy of formation from the pure elements ... -0.06 eV per atom

***

(7)
This record from Alexandria via LeMat-Bulk describes an optimized crystal structure of NbC2Br. The functional is PBE.

Cell lengths 6.385, 6.385, 6.385 Å; angles 130.00, 130.00, 73.41 degrees
Fractional positions:
Nb (0.000, 0.000, 0.000)
Nb (0.750, 0.250, 0.500)
C (0.035, 0.625, 0.910)
C (0.375, 0.285, 0.410)
C (0.715, 0.125, 0.090)
C (0.875, 0.965, 0.590)
Br (0.250, 0.750, 0.500)
Br (0.500, 0.500, 0.000)

## Properties
Formation energy without anion corrections ... 1496 meV per atom

***

(8)
This record from Alexandria via LeMat-Bulk describes an optimized crystal structure of LiPm2Zn2Rh5. The functional is PBE.

Cell lengths 9.602, 9.602, 3.732 Å; angles 90.00, 90.00, 90.00 degrees
Fractional positions:
Li (0.000, 0.000, 0.000)
Li (0.500, 0.500, 0.000)
Pm (0.176, 0.324, 0.000)
Pm (0.324, 0.824, 0.000)
Pm (0.676, 0.176, 0.000)
Pm (0.824, 0.676, 0.000)
Zn (0.123, 0.623, 0.000)
Zn (0.377, 0.123, 0.000)
Zn (0.623, 0.877, 0.000)
Zn (0.877, 0.377, 0.000)
Rh (0.000, 0.500, 0.500)
Rh (0.066, 0.798, 0.500)
Rh (0.202, 0.066, 0.500)
Rh (0.298, 0.566, 0.500)
Rh (0.434, 0.298, 0.500)
Rh (0.500, 0.000, 0.500)
Rh (0.566, 0.702, 0.500)
Rh (0.702, 0.434, 0.500)
Rh (0.798, 0.934, 0.500)
Rh (0.934, 0.202, 0.500)

## Properties
Energy of formation from the pure elements ... -0.42 eV per atom